Record 1
VASP calculation (GGA-PBE) on a relaxed TbSm crystal.

Unit cell a=6.963 b=6.963 c=6.963 alpha=90.00 beta=90.00 gamma=90.00
Atoms (fractional coordinates):
Tb 0.000 0.000 0.000
Tb 0.000 0.500 0.500
Tb 0.500 0.000 0.500
Tb 0.500 0.500 0.000
Sm 0.250 0.250 0.250
Sm 0.250 0.750 0.750
Sm 0.750 0.250 0.750
Sm 0.750 0.750 0.250

Properties
- crystal system = cubic
- ΔE to the lowest computed polymorph (eV per formula unit) = 3.57

Record 2
VASP calculation (GGA-PBE) on a relaxed FeBW2 crystal.

Unit cell a=5.900 b=5.900 c=5.900 alpha=90.00 beta=90.00 gamma=90.00
Atoms (fractional coordinates):
Fe 0.000 0.000 0.000
Fe 0.000 0.500 0.500
Fe 0.500 0.000 0.500
Fe 0.500 0.500 0.000
B 0.250 0.250 0.750
B 0.250 0.750 0.250
B 0.750 0.250 0.250
B 0.750 0.750 0.750
W 0.000 0.000 0.500
W 0.000 0.500 0.000
W 0.250 0.250 0.250
W 0.250 0.750 0.750
W 0.500 0.000 0.000
W 0.500 0.500 0.500
W 0.750 0.250 0.750
W 0.750 0.750 0.250

Properties
- crystal system = cubic
- VASP energy (eV per atom) = -9.546

Record 3
VASP calculation (GGA-PBE) on a relaxed TlHgPb2 crystal.

Unit cell a=7.763 b=7.763 c=7.763 alpha=90.00 beta=90.00 gamma=90.00
Atoms (fractional coordinates):
Tl 0.000 0.000 0.000
Tl 0.000 0.500 0.500
Tl 0.500 0.000 0.500
Tl 0.500 0.500 0.000
Hg 0.250 0.250 0.250
Hg 0.250 0.750 0.750
Hg 0.750 0.250 0.750
Hg 0.750 0.750 0.250
Pb 0.000 0.000 0.500
Pb 0.000 0.500 0.000
Pb 0.250 0.250 0.750
Pb 0.250 0.750 0.250
Pb 0.500 0.000 0.000
Pb 0.500 0.500 0.500
Pb 0.750 0.250 0.250
Pb 0.750 0.750 0.750

Properties
- crystal system = cubic
- VASP energy (eV per atom) = -2.507

Record 4
VASP calculation (GGA-PBE) on a relaxed Y3AlFeS7 crystal.

Unit cell a=9.610 b=6.138 c=9.632 alpha=90.00 beta=119.81 gamma=90.00
Atoms (fractional coordinates):
Y 0.123 0.000 0.346
Y 0.275 0.498 0.121
Y 0.348 0.500 0.724
Y 0.652 0.000 0.276
Y 0.725 0.998 0.879
Y 0.877 0.500 0.654
Al 0.167 0.924 0.833
Al 0.833 0.424 0.167
Fe 0.498 0.825 0.495
Fe 0.502 0.325 0.505
S 0.020 0.769 0.930
S 0.071 0.769 0.591
S 0.167 0.289 0.833
S 0.262 0.588 0.398
S 0.364 0.090 0.263
S 0.397 0.088 0.636
S 0.410 0.769 0.981
S 0.590 0.269 0.019
S 0.603 0.588 0.364
S 0.636 0.590 0.737
S 0.738 0.088 0.602
S 0.833 0.789 0.167
S 0.929 0.269 0.409
S 0.980 0.269 0.070

Properties
- crystal system = monoclinic
- VASP energy (eV per atom) = -6.582

| no. | calculated volume (Å³ per cell) |
| --- | --- |
| 1 | 337.6 |
| 2 | 205.4 |
| 3 | 467.9 |
| 4 | 492.9 |